1.
Computed, not measured: a geometry-optimized La4InRh structure at the GGA-PBE level of DFT.

Unit cell a=8.5300 b=8.5300 c=6.2263 alpha=102.35 beta=102.35 gamma=116.18
Closest atoms and distances in Å follow each position.
Sites, in units of the cell vectors:
La 0.0721 0.6980 0.9267  2 Rh 3.23-3.30, 2 In 3.34-3.37, 3 La 3.45-3.59
La 0.1992 0.3447 0.6485  2 Rh 2.88-2.97
La 0.3020 0.9279 0.5733  2 Rh 3.23-3.30, 2 In 3.34-3.37, 3 La 3.45-3.59
La 0.3447 0.1992 0.1485  2 Rh 2.88-2.97
La 0.6553 0.8008 0.8515  2 Rh 2.88-2.97
La 0.6980 0.0721 0.4267  2 Rh 3.23-3.30, 2 In 3.34-3.37, 3 La 3.45-3.59
La 0.8008 0.6553 0.3515  2 Rh 2.88-2.97
La 0.9279 0.3020 0.0733  2 Rh 3.23-3.30, 2 In 3.34-3.37, 3 La 3.45-3.59
In 0.3817 0.6183 0.2500  8 La 3.34-3.53
In 0.6183 0.3817 0.7500  8 La 3.34-3.53
Rh 0.0014 0.9986 0.7500  4 La 2.88-2.97, 2 Rh 3.11
Rh 0.9986 0.0014 0.2500  4 La 2.88-2.97, 2 Rh 3.11

The value obtained for the electronic total energy is -5.41 eV/atom. The density of states at the Fermi level comes out at 1.08 states/eV/atom. Its space-group type is No. 15.

---

2.
Computed, not measured: a geometry-optimized Tm3Cd7Ag2 structure at the GGA-PBE level of DFT.

Unit cell a=5.0092 b=4.4157 c=13.0104 alpha=90.00 beta=90.82 gamma=90.00
Closest atoms and distances in Å follow each position.
Sites, in units of the cell vectors:
Tm 0.0000 0.0000 0.0000  12 Cd 3.07-3.34
Tm 0.4536 0.5000 0.6606  2 Ag 3.16, 8 Cd 3.21-3.43
Tm 0.5464 0.5000 0.3394  2 Ag 3.16, 8 Cd 3.21-3.43
Cd 0.0298 0.5000 0.1636  2 Ag 2.79, 2 Tm 3.07
Cd 0.2486 0.0000 0.4769  2 Cd 2.57-2.58, 1 Ag 2.74
Cd 0.4975 0.0000 0.1610  2 Ag 2.93-3.13, 4 Cd 3.04-3.22, 3 Tm 3.21-3.23
Cd 0.5000 0.5000 0.0000  8 Cd 3.04-3.38, 4 Tm 3.34
Cd 0.5025 0.0000 0.8390  2 Ag 2.93-3.13, 4 Cd 3.04-3.22, 3 Tm 3.21-3.23
Cd 0.7514 0.0000 0.5231  2 Cd 2.57-2.58, 1 Ag 2.74
Cd 0.9702 0.5000 0.8364  2 Ag 2.79, 2 Tm 3.07
Ag 0.0217 0.0000 0.7076  4 Cd 2.74-2.93
Ag 0.9783 0.0000 0.2924  4 Cd 2.74-2.93

The value obtained for the electronic total energy is -2.23 eV/atom. The density of states at the Fermi level comes out at 0.50 states/eV/atom. Its space-group type is No. 10.

---

3.
Computed, not measured: a geometry-optimized LaAlMo2 structure at the GGA-PBE level of DFT.

Unit cell a=3.5423 b=4.5218 c=4.8529 alpha=90.00 beta=90.00 gamma=90.00
Closest atoms and distances in Å follow each position.
Sites, in units of the cell vectors:
La 0.0000 0.0000 0.0000  4 Mo 2.87, 4 Al 3.00
Al 0.5000 0.0000 0.5000  4 Mo 2.87, 4 La 3.00
Mo 0.0000 0.5000 0.5000  4 Al 2.87, 4 Mo 3.00
Mo 0.5000 0.5000 0.0000  4 La 2.87, 4 Mo 3.00

The value obtained for the electronic total energy is -7.07 eV/atom. The density of states at the Fermi level comes out at 1.38 states/eV/atom. Its space-group type is No. 47.